No. 1
A relaxed structure of HfZr2CdC. Source: the Alexandria database, functional PBE-GGA.

a = 5.1247 Å, b = 5.1247 Å, c = 5.3630 Å
α = 90.00°, β = 90.00°, γ = 90.00°
Last column: nearest neighbours and their distance in Å.
Fractional positions:
Hf (0.0000, 0.0000, 0.0000)  4 Zr 2.56, 2 Cd 2.68
Zr (0.0000, 0.5000, 0.0000)  2 Hf 2.56
Zr (0.5000, 0.0000, 0.0000)  2 Hf 2.56
Cd (0.0000, 0.0000, 0.5000)  2 Hf 2.68
C (0.5000, 0.5000, 0.5000)  4 Cd 3.62, 8 Zr 3.71

Properties
* formation energy from the elements: 2.32 eV per atom
* total magnetization: 1.4 μB per formula unit
* ρ: 5.722 g cm⁻³
* symmetry: P4/mmm
* distance to the lowest polymorph of the same formula: 2.746 eV per atom
* N(E_F): 1.119 states/eV/atom

***

No. 2
A relaxed structure of CaSm6Dy2. Source: the Alexandria database, functional PBE-GGA.

a = 3.6378 Å, b = 3.6378 Å, c = 27.0967 Å
α = 90.00°, β = 90.00°, γ = 120.00°
Last column: nearest neighbours and their distance in Å.
Fractional positions:
Ca (0.0000, 0.0000, 0.0000)  6 Ca 3.64, 6 Sm 3.82
Sm (0.0000, 0.0000, 0.2232)  9 Sm 3.54-3.64, 3 Dy 3.62
Sm (0.0000, 0.0000, 0.4349)  3 Dy 3.49, 7 Sm 3.53-3.64
Sm (0.0000, 0.0000, 0.5651)  3 Dy 3.49, 7 Sm 3.53-3.64
Sm (0.0000, 0.0000, 0.7768)  9 Sm 3.54-3.64, 3 Dy 3.62
Sm (0.6667, 0.3333, 0.1178)  9 Sm 3.54-3.64, 3 Ca 3.82
Sm (0.6667, 0.3333, 0.8822)  9 Sm 3.54-3.64, 3 Ca 3.82
Dy (0.6667, 0.3333, 0.3319)  6 Sm 3.49-3.62, 6 Dy 3.64
Dy (0.6667, 0.3333, 0.6681)  6 Sm 3.49-3.62, 6 Dy 3.64

Properties
* formation energy from the elements: 0.06 eV per atom
* total magnetization: 0.0 μB per formula unit
* ρ: 6.776 g cm⁻³
* symmetry: P-6m2
* N(E_F): 1.587 states/eV/atom